Compound: EuAlZnAg
Source: the Alexandria database
Functional: PBE
Structure: optimized geometry

Calculated values
As for the energy of formation from the pure elements: -0.211 eV per atom. Its crystal system is cubic. The calculated total energy is -4.7461 eV per atom. The theoretical density is 7.06 g/cm3. As for the density of states at the Fermi level: 10.67 states/eV/f.u.

a b c (Å): 6.919 6.919 6.919
angles (deg): 90.00 90.00 90.00
Space group F-43m (No. 216)
Symmetry-distinct sites (fractional):
1 Eu 0.000 0.000 0.000 [4 per cell]
2 Al 0.000 0.000 0.500 [4 per cell]
3 Zn 0.250 0.250 0.250 [4 per cell]
4 Ag 0.250 0.250 0.750 [4 per cell]

Compound: AlAg2F
Source: the Alexandria database
Functional: PBE
Structure: optimized geometry

Calculated values
Its crystal system is cubic. The calculated total energy is -3.1555 eV per atom. The theoretical density is 6.73 g/cm3. As for the density of states at the Fermi level: 1.50 states/eV/f.u.

a b c (Å): 6.370 6.370 6.370
angles (deg): 90.00 90.00 90.00
Space group Fm-3m (No. 225)
Symmetry-distinct sites (fractional):
1 Al 0.000 0.000 0.000 [4 per cell]
2 Ag 0.250 0.250 0.250 [8 per cell]
3 F 0.000 0.000 0.500 [4 per cell]

Compound: Al2Ag3F9
Source: the Alexandria database
Functional: PBE
Structure: optimized geometry

Calculated values
Its crystal system is trigonal. The calculated total energy is -4.7277 eV per atom. The theoretical density is 4.93 g/cm3. As for the density of states at the Fermi level: 0.00 states/eV/f.u.

a b c (Å): 9.5530 9.5530 14.0187
angles (deg): 90.00 90.00 120.00
Space group R-3c (No. 167, hexagonal axes)
Symmetry-distinct sites (fractional):
1 Al 0.0000 0.0000 0.1537 [12 per cell]
2 Ag 0.0000 0.3496 0.2500 [18 per cell]
3 F 0.0000 0.1439 0.7500 [18 per cell]
4 F 0.0072 0.1663 0.4049 [36 per cell]

Compound: Al2AgF6
Source: the Alexandria database
Functional: PBE
Structure: optimized geometry

Calculated values
Its crystal system is trigonal. The calculated total energy is -5.0559 eV per atom. The theoretical density is 3.89 g/cm3. As for the density of states at the Fermi level: 1.61 states/eV/f.u.

a b c (Å): 5.3696 5.3696 14.1355
angles (deg): 90.00 90.00 120.00
Space group R3m (No. 160, hexagonal axes)
Symmetry-distinct sites (fractional):
1 Al 0.0000 0.0000 0.0000 [3 per cell]
2 Al 0.0000 0.0000 0.1903 [3 per cell]
3 Ag 0.0000 0.0000 0.7040 [3 per cell]
4 F 0.0062 0.5031 0.5893 [9 per cell]
5 F 0.0423 0.5212 0.7656 [9 per cell]

Compound: AlAgF2
Source: the Alexandria database
Functional: PBE
Structure: optimized geometry

Calculated values
Its crystal system is cubic. The calculated total energy is -4.1678 eV per atom. The theoretical density is 4.17 g/cm3. As for the density of states at the Fermi level: 1.34 states/eV/f.u.

a b c (Å): 8.199 8.199 8.199
angles (deg): 90.00 90.00 90.00
Space group Fd-3m (No. 227, origin choice 2)
Symmetry-distinct sites (fractional):
1 Al 0.125 0.125 0.125 [8 per cell]
2 Ag 0.125 0.125 0.625 [8 per cell]
3 F 0.000 0.000 0.000 [16 per cell]

Compound: AlAg2F
Source: the Alexandria database
Functional: PBE
Structure: optimized geometry

Calculated values
Its crystal system is tetragonal. The calculated total energy is -3.2649 eV per atom. The theoretical density is 6.49 g/cm3. As for the density of states at the Fermi level: 0.29 states/eV/f.u.

a b c (Å): 6.963 6.963 5.521
angles (deg): 90.00 90.00 90.00
Space group I-42d (No. 122)
Symmetry-distinct sites (fractional):
1 Al 0.000 0.000 0.000 [4 per cell]
2 Ag 0.230 0.250 0.625 [8 per cell]
3 F 0.000 0.000 0.500 [4 per cell]

Compound: AlAgF5
Source: the Alexandria database
Functional: PBE
Structure: optimized geometry

Calculated values
Its crystal system is orthorhombic. The calculated total energy is -4.7353 eV per atom. The theoretical density is 4.04 g/cm3. As for the density of states at the Fermi level: 1.48 states/eV/f.u.

a b c (Å): 3.691 6.570 7.795
angles (deg): 90.00 90.00 90.00
Space group Immm (No. 71)
Symmetry-distinct sites (fractional):
1 Al 0.000 0.000 0.000 [2 per cell]
2 Ag 0.000 0.000 0.500 [2 per cell]
3 F 0.000 0.000 0.233 [4 per cell]
4 F 0.000 0.278 0.000 [4 per cell]
5 F 0.000 0.500 0.500 [2 per cell]

Compound: Al3AgF
Source: the Alexandria database
Functional: PBE
Structure: optimized geometry

Calculated values
Its crystal system is cubic. The calculated total energy is -3.1511 eV per atom. The theoretical density is 3.02 g/cm3. As for the density of states at the Fermi level: 2.49 states/eV/f.u.

a b c (Å): 4.853 4.853 4.853
angles (deg): 90.00 90.00 90.00
Space group Pm-3m (No. 221)
Symmetry-distinct sites (fractional):
1 Al 0.000 0.000 0.500 [3 per cell]
2 Ag 0.000 0.000 0.000 [1 per cell]
3 F 0.500 0.500 0.500 [1 per cell]

Compound: AlAgF2
Source: the Alexandria database
Functional: PBE
Structure: optimized geometry

Calculated values
Its crystal system is cubic. The calculated total energy is -3.6427 eV per atom. The theoretical density is 4.98 g/cm3. As for the density of states at the Fermi level: 0.00 states/eV/f.u.

a b c (Å): 6.133 6.133 6.133
angles (deg): 90.00 90.00 90.00
Space group Fm-3m (No. 225)
Symmetry-distinct sites (fractional):
1 Al 0.000 0.000 0.000 [4 per cell]
2 Ag 0.000 0.000 0.500 [4 per cell]
3 F 0.250 0.250 0.250 [8 per cell]

Compound: AlAgF3
Source: the Alexandria database
Functional: PBE
Structure: optimized geometry

Calculated values
Its crystal system is cubic. The calculated total energy is -4.5014 eV per atom. The theoretical density is 5.16 g/cm3. As for the density of states at the Fermi level: 0.83 states/eV/f.u.

a b c (Å): 3.953 3.953 3.953
angles (deg): 90.00 90.00 90.00
Space group Pm-3m (No. 221)
Symmetry-distinct sites (fractional):
1 Al 0.000 0.000 0.000 [1 per cell]
2 Ag 0.500 0.500 0.500 [1 per cell]
3 F 0.000 0.000 0.500 [3 per cell]

Compound: AlAgF3
Source: the Alexandria database
Functional: PBE
Structure: optimized geometry

Calculated values
Its crystal system is cubic. The calculated total energy is -3.5377 eV per atom. The theoretical density is 3.79 g/cm3. As for the density of states at the Fermi level: 1.88 states/eV/f.u.

a b c (Å): 4.382 4.382 4.382
angles (deg): 90.00 90.00 90.00
Space group Pm-3m (No. 221)
Symmetry-distinct sites (fractional):
1 Al 0.000 0.000 0.000 [1 per cell]
2 Ag 0.500 0.500 0.500 [1 per cell]
3 F 0.000 0.500 0.500 [3 per cell]

Compound: AlAg4F6
Source: the Alexandria database
Functional: PBE
Structure: optimized geometry

Calculated values
Its crystal system is tetragonal. The calculated total energy is -4.0793 eV per atom. The theoretical density is 5.53 g/cm3. As for the density of states at the Fermi level: 1.87 states/eV/f.u.

a b c (Å): 7.143 7.143 6.742
angles (deg): 90.00 90.00 90.00
Space group P4/mnc (No. 128)
Symmetry-distinct sites (fractional):
1 Al 0.000 0.000 0.000 [2 per cell]
2 Ag 0.138 0.362 0.250 [8 per cell]
3 F 0.000 0.000 0.267 [4 per cell]
4 F 0.113 0.764 0.000 [8 per cell]

Please write out number 12 again, unchanged.
Compound: AlAg4F6
Source: the Alexandria database
Functional: PBE
Structure: optimized geometry

Calculated values
Its crystal system is tetragonal. The calculated total energy is -4.0793 eV per atom. The theoretical density is 5.53 g/cm3. As for the density of states at the Fermi level: 1.87 states/eV/f.u.

a b c (Å): 7.143 7.143 6.742
angles (deg): 90.00 90.00 90.00
Space group P4/mnc (No. 128)
Symmetry-distinct sites (fractional):
1 Al 0.000 0.000 0.000 [2 per cell]
2 Ag 0.138 0.362 0.250 [8 per cell]
3 F 0.000 0.000 0.267 [4 per cell]
4 F 0.113 0.764 0.000 [8 per cell]

- Among the records above, which one has the highest theoretical density?
  EuAlZnAg

Please write out number 9 again, unchanged.
Compound: AlAgF2
Source: the Alexandria database
Functional: PBE
Structure: optimized geometry

Calculated values
Its crystal system is cubic. The calculated total energy is -3.6427 eV per atom. The theoretical density is 4.98 g/cm3. As for the density of states at the Fermi level: 0.00 states/eV/f.u.

a b c (Å): 6.133 6.133 6.133
angles (deg): 90.00 90.00 90.00
Space group Fm-3m (No. 225)
Symmetry-distinct sites (fractional):
1 Al 0.000 0.000 0.000 [4 per cell]
2 Ag 0.000 0.000 0.500 [4 per cell]
3 F 0.250 0.250 0.250 [8 per cell]

- Which value of calculated total energy does entry 3 give?
  -4.7277 eV per atom